Entry 1:
Compound: YTe3
Source: Alexandria
Functional: PBE
Structure: relaxed

Cell: 6.4748 6.4748 5.5837 Å, 90.00 90.00 92.75°
Positions (direct):
Te 0.4222 0.1713 0.2500
Te 0.8287 0.5778 0.2500
Te 0.1237 0.8763 0.7500
Te 0.5778 0.8287 0.7500
Te 0.1713 0.4222 0.7500
Te 0.8763 0.1237 0.2500
Y 0.3201 0.6799 0.2500
Y 0.6799 0.3201 0.7500

Summary:
Crystal system = orthorhombic
DOS at the Fermi energy = 3.3 states/eV/cell
SG = Cmcm
Volume = 29.2 A^3/atom
Spin magnetization = 0.00 μB/f.u.
ΔE_f (raw) = -0.69 eV/atom

***

Entry 2:
Compound: Y2Te3
Source: Alexandria
Functional: PBE
Structure: relaxed

Cell: 4.2957 11.8742 12.0177 Å, 90.00 90.00 90.00°
Positions (direct):
Te 0.7500 0.8061 0.7770
Te 0.2500 0.1939 0.2230
Te 0.2500 0.8771 0.0418
Te 0.2500 0.6229 0.5418
Te 0.7500 0.6939 0.2770
Te 0.7500 0.4441 0.1172
Te 0.2500 0.3061 0.7230
Te 0.7500 0.0559 0.6172
Te 0.2500 0.9441 0.3828
Te 0.7500 0.3771 0.4582
Te 0.7500 0.1229 0.9582
Te 0.2500 0.5559 0.8828
Y 0.7500 0.9967 0.1964
Y 0.2500 0.0033 0.8036
Y 0.2500 0.3110 0.9819
Y 0.2500 0.1890 0.4819
Y 0.2500 0.4967 0.3036
Y 0.7500 0.6890 0.0181
Y 0.7500 0.5033 0.6964
Y 0.7500 0.8110 0.5181

Summary:
Crystal system = orthorhombic
DOS at the Fermi energy = 0.5 states/eV/cell
SG = Pnma
Volume = 30.6 A^3/atom
Spin magnetization = 0.00 μB/f.u.
ΔE_f (raw) = -1.40 eV/atom

***

Entry 3:
Compound: Y4Te
Source: Alexandria
Functional: PBE
Structure: relaxed

Cell: 6.0668 6.0668 6.0668 Å, 99.18 99.18 132.92°
Positions (direct):
Y 0.8158 0.3797 0.1955
Y 0.6203 0.8158 0.4360
Y 0.1842 0.6203 0.8045
Y 0.3797 0.1842 0.5640
Te 0.0000 0.0000 0.0000

Summary:
Crystal system = tetragonal
DOS at the Fermi energy = 5.3 states/eV/cell
SG = I4/m
Volume = 30.0 A^3/atom
Spin magnetization = 0.00 μB/f.u.
E above lowest polymorph = 0 meV per atom
ΔE_f (raw) = -0.35 eV/atom

***

Entry 4:
Compound: YTe3
Source: Alexandria
Functional: PBE
Structure: relaxed

Cell: 6.0835 6.0835 6.0835 Å, 137.98 121.31 74.77°
Positions (direct):
Te 0.4359 0.4408 0.9951
Te 0.0543 0.0592 0.9951
Te 0.8532 0.2500 0.6032
Y 0.4900 0.7500 0.7400

Summary:
Crystal system = orthorhombic
DOS at the Fermi energy = 3.1 states/eV/cell
SG = Imm2
Volume = 31.4 A^3/atom
Spin magnetization = 0.00 μB/f.u.
ΔE_f (raw) = -0.72 eV/atom

***

Entry 5:
Compound: YTe3
Source: Alexandria
Functional: PBE
Structure: relaxed

Cell: 7.5008 8.4295 8.4310 Å, 90.00 90.00 90.00°
Positions (direct):
Y 0.5307 0.8429 0.7500
Y 0.9693 0.3429 0.7500
Y 0.4693 0.1571 0.2500
Y 0.0307 0.6571 0.2500
Te 0.7085 0.1256 0.9419
Te 0.7915 0.6256 0.9419
Te 0.2915 0.8744 0.0581
Te 0.7915 0.6256 0.5581
Te 0.8618 0.0185 0.2500
Te 0.1382 0.9815 0.7500
Te 0.3618 0.4815 0.7500
Te 0.7085 0.1256 0.5581
Te 0.2085 0.3744 0.4419
Te 0.2915 0.8744 0.4419
Te 0.6382 0.5185 0.2500
Te 0.2085 0.3744 0.0581

Summary:
Crystal system = orthorhombic
DOS at the Fermi energy = 3.7 states/eV/cell
SG = Pnma
Volume = 33.3 A^3/atom
Spin magnetization = 0.00 μB/f.u.
ΔE_f (raw) = -0.79 eV/atom

***

Entry 6:
Compound: Y4Te
Source: Alexandria
Functional: PBE
Structure: relaxed

Cell: 5.6961 5.6961 5.6961 Å, 90.00 90.00 90.00°
Each line ends with the local moment (μB).
Positions (direct):
Te 0.5000 0.5000 0.5000  0.01
Y 0.5000 0.0000 0.5000  0.09
Y 0.0000 0.5000 0.5000  0.09
Y 0.5000 0.5000 0.0000  0.09
Y 0.0000 0.0000 0.0000  0.10

Summary:
Crystal system = cubic
DOS at the Fermi energy = 11.2 states/eV/cell
SG = Pm-3m
Volume = 37.0 A^3/atom
Spin magnetization = 0.89 μB/f.u.
E above lowest polymorph = 257 meV per atom
ΔE_f (raw) = -0.09 eV/atom